No. 1
{
  "formula": "LiSiRu2",
  "functional": "GGA-PBE",
  "state": "optimized geometry",
  "e_form_raw_ev_per_atom": -0.13,
  "dos_ef_per_ev_cell": 3.645,
  "sg": "P4mm (99)",
  "lattice_angstrom": [[2.974, 0.000, 0.000], [0.000, 2.974, 0.000], [0.000, 0.000, 5.640]],
  "species": ["Li", "Si", "Ru", "Ru"],
  "fractional_positions": [[0.000, 0.000, 0.000], [0.500, 0.500, 0.776], [0.000, 0.000, 0.531], [0.500, 0.500, 0.230]]
}

=====

No. 2
{
  "formula": "Zr2ScPa2",
  "functional": "GGA-PBE",
  "state": "optimized geometry",
  "dos_ef_per_ev_cell": 14.632,
  "sg": "Cmcm (63)",
  "dft_energy_ev_per_atom": -8.44,
  "lattice_angstrom": [[2.240, -11.915, 0.000], [2.240, 11.915, 0.000], [0.000, 0.000, 4.481]],
  "species": ["Zr", "Zr", "Zr", "Zr", "Sc", "Sc", "Pa", "Pa", "Pa", "Pa"],
  "fractional_positions": [[0.152, 0.848, 0.750], [0.250, 0.750, 0.250], [0.750, 0.250, 0.750], [0.848, 0.152, 0.250], [0.347, 0.653, 0.750], [0.653, 0.347, 0.250], [0.051, 0.949, 0.250], [0.449, 0.551, 0.250], [0.551, 0.449, 0.750], [0.949, 0.051, 0.750]]
}

=====

No. 3
{
  "formula": "Mo2RuCl",
  "functional": "GGA-PBE",
  "state": "optimized geometry",
  "e_form_raw_ev_per_atom": 0.73,
  "dos_ef_per_ev_cell": 5.597,
  "sg": "Fm-3m (225)",
  "polymorph_energy_mev_per_atom": 514,
  "lattice_angstrom": [[0.000, 3.118, 3.118], [3.118, 0.000, 3.118], [3.118, 3.118, 0.000]],
  "species": ["Mo", "Mo", "Ru", "Cl"],
  "fractional_positions": [[0.250, 0.250, 0.250], [0.750, 0.750, 0.750], [0.000, 0.000, 0.000], [0.500, 0.500, 0.500]]
}